Record 1
Compound: Ce2TaAs3Rh4
Source: Alexandria via LeMat-Bulk
Functional: PBE
Structure: relaxed

Properties
The calculation puts the formation energy from the elements at -0.8502 eV/atom.

abc: 4.166 4.166 10.677
angles: 90.00 90.00 90.00
Space group P-4m2 (No. 115)
Symmetry-distinct sites (fractional):
Ce1 0.000 0.500 0.236 [2 per cell]
Ta1 0.000 0.000 0.500 [1 per cell]
As1 0.000 0.500 0.864 [2 per cell]
As2 0.500 0.500 0.500 [1 per cell]
Rh1 0.000 0.000 0.000 [1 per cell]
Rh2 0.000 0.500 0.635 [2 per cell]
Rh3 0.500 0.500 0.000 [1 per cell]

Record 2
Compound: LaYPdPb
Source: Alexandria via LeMat-Bulk
Functional: PBE
Structure: relaxed

Properties
The calculation puts the formation energy from the elements at -0.6109 eV/atom.

abc: 7.570 7.570 7.570
angles: 90.00 90.00 90.00
Space group F-43m (No. 216)
Symmetry-distinct sites (fractional):
La1 0.000 0.000 0.000 [4 per cell]
Y1 0.000 0.000 0.500 [4 per cell]
Pd1 0.250 0.250 0.750 [4 per cell]
Pb1 0.250 0.250 0.250 [4 per cell]

Record 3
Compound: CaMgW2
Source: Alexandria via LeMat-Bulk
Functional: PBE
Structure: relaxed

Properties
The calculation puts the formation energy from the elements at 0.6831 eV/atom.

abc: 2.769 2.769 10.109
angles: 90.00 90.00 90.00
Space group P4mm (No. 99)
Symmetry-distinct sites (fractional):
Ca1 0.000 0.000 0.000 [1 per cell]
Mg1 0.500 0.500 0.290 [1 per cell]
W1 0.000 0.000 0.515 [1 per cell]
W2 0.500 0.500 0.743 [1 per cell]

Record 4
Compound: NdSn5Te7
Source: Alexandria via LeMat-Bulk
Functional: PBE
Structure: relaxed

Properties
The calculation puts the raw formation energy at -6.2 eV/f.u.

abc: 4.419 15.011 26.198
angles: 90.00 90.00 90.00
Space group Cmc2_1 (No. 36)
Symmetry-distinct sites (fractional):
Nd1 0.000 0.207 0.000 [4 per cell]
Sn1 0.000 0.010 0.242 [4 per cell]
Sn2 0.000 0.260 0.666 [4 per cell]
Sn3 0.000 0.284 0.314 [4 per cell]
Sn4 0.000 0.445 0.889 [4 per cell]
Sn5 0.000 0.472 0.092 [4 per cell]
Te1 0.000 0.076 0.847 [4 per cell]
Te2 0.000 0.115 0.119 [4 per cell]
Te3 0.000 0.172 0.561 [4 per cell]
Te4 0.000 0.202 0.422 [4 per cell]
Te5 0.000 0.352 0.778 [4 per cell]
Te6 0.000 0.376 0.203 [4 per cell]
Te7 0.000 0.443 0.487 [4 per cell]

Record 5
Compound: Dy5Ho2Er2
Source: Alexandria via LeMat-Bulk
Functional: PBE
Structure: relaxed

Properties
The calculation puts the formation energy from the elements at 0.0185 eV/atom. The value obtained for the energy above the most stable polymorph in this dataset is 0.00 eV per formula unit.

abc: 14.950 4.974 7.876
angles: 90.00 108.45 90.00
Space group C2/m (No. 12)
Symmetry-distinct sites (fractional):
Dy1 0.000 0.000 0.000 [2 per cell]
Dy2 0.167 0.500 0.000 [4 per cell]
Dy3 0.222 0.000 0.334 [4 per cell]
Ho1 0.111 0.000 0.666 [4 per cell]
Er1 0.055 0.500 0.334 [4 per cell]

Record 6
Compound: Li2Al3Zn8
Source: Alexandria via LeMat-Bulk
Functional: PBE
Structure: relaxed

Properties
The calculation puts the formation energy from the elements at 0.0039 eV/atom.

abc: 11.730 7.026 5.158
angles: 90.00 90.78 90.00
Space group C2/m (No. 12)
Symmetry-distinct sites (fractional):
Li1 0.195 0.000 0.262 [4 per cell]
Al1 0.000 0.000 0.000 [2 per cell]
Al2 0.000 0.184 0.500 [4 per cell]
Zn1 0.115 0.500 0.486 [4 per cell]
Zn2 0.128 0.317 0.983 [8 per cell]
Zn3 0.197 0.000 0.752 [4 per cell]

Record 7
Compound: NaCe5Te6
Source: Alexandria via LeMat-Bulk
Functional: PBE
Structure: relaxed

Properties
The calculation puts the raw formation energy at -15.9 eV/f.u.

abc: 7.816 13.581 7.801
angles: 90.00 109.64 90.00
Space group C2/m (No. 12)
Symmetry-distinct sites (fractional):
Na1 0.000 0.000 0.000 [2 per cell]
Ce1 0.000 0.167 0.500 [4 per cell]
Ce2 0.000 0.334 0.000 [4 per cell]
Ce3 0.000 0.500 0.500 [2 per cell]
Te1 0.248 0.000 0.751 [4 per cell]
Te2 0.248 0.166 0.248 [8 per cell]

Record 8
Compound: Eu3Tm
Source: Alexandria via LeMat-Bulk
Functional: PBE
Structure: relaxed

Properties
The calculation puts the formation energy from the elements at 0.1090 eV/atom. The value obtained for the energy above the most stable polymorph in this dataset is 0.05 eV per formula unit.

abc: 3.693 6.118 6.617
angles: 90.00 90.00 90.00
Space group Pmm2 (No. 25)
Symmetry-distinct sites (fractional):
Eu1 0.000 0.000 0.000 [1 per cell]
Eu2 0.000 0.500 0.337 [1 per cell]
Eu3 0.500 0.000 0.512 [1 per cell]
Tm1 0.500 0.500 0.835 [1 per cell]

Record 9
Compound: CaNiH3
Source: Alexandria via LeMat-Bulk
Functional: PBE
Structure: relaxed

Properties
As for the total energy: -35.95 eV for the cell shown.

abc: 2.866 4.421 9.795
angles: 90.00 90.00 90.00
Space group Amm2 (No. 38)
Symmetry-distinct sites (fractional):
Ca1 0.000 0.000 0.000 [2 per cell]
Ni1 0.500 0.000 0.684 [2 per cell]
H1 0.000 0.207 0.686 [4 per cell]
H2 0.500 0.000 0.849 [2 per cell]

Record 10
Compound: GdThZnOs
Source: Alexandria via LeMat-Bulk
Functional: PBE
Structure: relaxed

Properties
The calculation puts the formation energy from the elements at -0.2316 eV/atom.

abc: 7.126 7.126 7.126
angles: 90.00 90.00 90.00
Space group F-43m (No. 216)
Symmetry-distinct sites (fractional):
Gd1 0.000 0.000 0.000 [4 per cell]
Th1 0.000 0.000 0.500 [4 per cell]
Zn1 0.250 0.250 0.750 [4 per cell]
Os1 0.250 0.250 0.250 [4 per cell]

Record 11
Compound: Sn2RhW
Source: Alexandria via LeMat-Bulk
Functional: PBE
Structure: relaxed

Properties
The calculation puts the formation energy from the elements at 0.6115 eV/atom. The value obtained for the energy above the most stable polymorph in this dataset is 1.51 eV per formula unit.

abc: 4.174 4.174 18.677
angles: 90.00 90.00 90.00
Space group I-42d (No. 122)
Symmetry-distinct sites (fractional):
Sn1 0.245 0.250 0.125 [8 per cell]
Rh1 0.000 0.000 0.000 [4 per cell]
W1 0.000 0.000 0.500 [4 per cell]

Record 12
Compound: NdH7Pd2Rh2
Source: Alexandria via LeMat-Bulk
Functional: PBE
Structure: relaxed

Properties
As for the total energy: -164.12 eV for the cell shown.

abc: 4.6358 4.6358 19.5026
angles: 90.00 90.00 120.00
Space group R-3m (No. 166, hexagonal axes)
Symmetry-distinct sites (fractional):
Nd1 0.0000 0.0000 0.0000 [3 per cell]
H1 0.0000 0.0000 0.5000 [3 per cell]
H2 0.0555 0.5277 0.9416 [18 per cell]
Pd1 0.0000 0.0000 0.1951 [6 per cell]
Rh1 0.0000 0.0000 0.4187 [6 per cell]

Record 13
Compound: SrTa2InS
Source: Alexandria via LeMat-Bulk
Functional: PBE
Structure: relaxed

Properties
The calculation puts the raw formation energy at 7.9 eV/f.u.

abc: 5.137 5.137 6.155
angles: 90.00 90.00 90.00
Space group P4/mmm (No. 123)
Symmetry-distinct sites (fractional):
Sr1 0.000 0.000 0.000 [1 per cell]
Ta1 0.000 0.500 0.500 [2 per cell]
In1 0.000 0.000 0.500 [1 per cell]
S1 0.500 0.500 0.000 [1 per cell]

Record 14
Compound: HfScH2Pd
Source: Alexandria via LeMat-Bulk
Functional: PBE
Structure: relaxed

Properties
As for the total energy: -28.55 eV for the cell shown.

abc: 3.753 3.753 5.591
angles: 90.00 90.00 90.00
Space group P4/mmm (No. 123)
Symmetry-distinct sites (fractional):
Hf1 0.000 0.000 0.000 [1 per cell]
Sc1 0.500 0.500 0.500 [1 per cell]
H1 0.000 0.500 0.500 [2 per cell]
Pd1 0.500 0.500 0.000 [1 per cell]

Record 15
Compound: Ac3Hg4Pb2
Source: Alexandria via LeMat-Bulk
Functional: PBE
Structure: relaxed

Properties
The calculation puts the formation energy from the elements at -0.4052 eV/atom. The value obtained for the energy above the most stable polymorph in this dataset is 0.66 eV per formula unit.

abc: 12.147 5.009 9.647
angles: 90.00 98.50 90.00
Space group C2/m (No. 12)
Symmetry-distinct sites (fractional):
Ac1 0.000 0.000 0.000 [2 per cell]
Ac2 0.123 0.500 0.379 [4 per cell]
Hg1 0.059 0.000 0.661 [4 per cell]
Hg2 0.179 0.500 0.058 [4 per cell]
Pb1 0.206 0.500 0.746 [4 per cell]

Record 16
Compound: BeCo2Sb
Source: Alexandria via LeMat-Bulk
Functional: PBE
Structure: relaxed

Properties
The calculation puts the raw formation energy at 1.5 eV/f.u. The value obtained for the energy above the most stable polymorph in this dataset is 1.61 eV per formula unit.

abc: 3.785 3.785 16.100
angles: 90.00 90.00 90.00
Space group I-42d (No. 122)
Symmetry-distinct sites (fractional):
Be1 0.000 0.000 0.000 [4 per cell]
Co1 0.174 0.250 0.125 [8 per cell]
Sb1 0.000 0.000 0.500 [4 per cell]

Record 17
Compound: PmFeSi
Source: Alexandria via LeMat-Bulk
Functional: PBE
Structure: relaxed

Properties
The calculation puts the raw formation energy at -1.8 eV/f.u. The value obtained for the energy above the most stable polymorph in this dataset is 0.00 eV per formula unit.

abc: 4.050 4.050 6.872
angles: 90.00 90.00 90.00
Space group P4/nmm (No. 129, origin choice 2)
Symmetry-distinct sites (fractional):
Pm1 0.250 0.250 0.185 [2 per cell]
Fe1 0.250 0.750 0.500 [2 per cell]
Si1 0.250 0.250 0.666 [2 per cell]

Record 18
Compound: Al3TeC
Source: Alexandria via LeMat-Bulk
Functional: PBE
Structure: relaxed

Properties
The calculation puts the raw formation energy at 2.0 eV/f.u. The value obtained for the energy above the most stable polymorph in this dataset is 0.00 eV per formula unit.

abc: 4.373 4.373 4.373
angles: 90.00 90.00 90.00
Space group Pm-3m (No. 221)
Symmetry-distinct sites (fractional):
Al1 0.000 0.000 0.500 [3 per cell]
Te1 0.500 0.500 0.500 [1 per cell]
C1 0.000 0.000 0.000 [1 per cell]

Record 19
Compound: Pr4Bi3Te
Source: Alexandria via LeMat-Bulk
Functional: PBE
Structure: relaxed

Properties
The calculation puts the raw formation energy at -8.8 eV/f.u.

abc: 6.530 6.530 13.053
angles: 90.00 90.00 90.00
Space group I4/mmm (No. 139)
Symmetry-distinct sites (fractional):
Pr1 0.000 0.000 0.249 [4 per cell]
Pr2 0.000 0.500 0.000 [4 per cell]
Bi1 0.000 0.000 0.000 [2 per cell]
Bi2 0.000 0.500 0.250 [4 per cell]
Te1 0.000 0.000 0.500 [2 per cell]

Record 20
Compound: CuMoOs3
Source: Alexandria via LeMat-Bulk
Functional: PBE
Structure: relaxed

Properties
The calculation puts the formation energy from the elements at 2.3949 eV/atom. The value obtained for the energy above the most stable polymorph in this dataset is 2.25 eV per formula unit.

abc: 4.687 4.687 4.687
angles: 90.00 90.00 90.00
Space group Pm-3m (No. 221)
Symmetry-distinct sites (fractional):
Cu1 0.000 0.000 0.000 [1 per cell]
Mo1 0.500 0.500 0.500 [1 per cell]
Os1 0.000 0.500 0.500 [3 per cell]

Record 21
Compound: Zr2TiWN
Source: Alexandria via LeMat-Bulk
Functional: PBE
Structure: relaxed

Properties
The calculation puts the raw formation energy at -3.0 eV/f.u.

abc: 4.574 4.574 3.964
angles: 90.00 90.00 90.00
Space group P4/mmm (No. 123)
Symmetry-distinct sites (fractional):
Zr1 0.000 0.500 0.000 [2 per cell]
Ti1 0.000 0.000 0.500 [1 per cell]
W1 0.500 0.500 0.500 [1 per cell]
N1 0.000 0.000 0.000 [1 per cell]

Record 22
Compound: Li2PI
Source: Alexandria via LeMat-Bulk
Functional: PBE
Structure: relaxed

Properties
The calculation puts the raw formation energy at -1.3 eV/f.u. The value obtained for the energy above the most stable polymorph in this dataset is 0.00 eV per formula unit.

abc: 7.596 7.596 5.908
angles: 90.00 90.00 90.00
Space group I-42d (No. 122)
Symmetry-distinct sites (fractional):
Li1 0.194 0.750 0.125 [8 per cell]
P1 0.000 0.000 0.000 [4 per cell]
I1 0.000 0.000 0.500 [4 per cell]

Record 23
Compound: Tl2CuP
Source: Alexandria via LeMat-Bulk
Functional: PBE
Structure: relaxed

Properties
The calculation puts the formation energy from the elements at 0.4856 eV/atom. The value obtained for the energy above the most stable polymorph in this dataset is 2.09 eV per formula unit.

abc: 5.050 5.050 7.058
angles: 90.00 90.00 90.00
Space group I-4m2 (No. 119)
Symmetry-distinct sites (fractional):
Tl1 0.000 0.000 0.000 [2 per cell]
Tl2 0.000 0.500 0.250 [2 per cell]
Cu1 0.000 0.000 0.500 [2 per cell]
P1 0.000 0.500 0.750 [2 per cell]

Record 24
Compound: Ac2HoScS5
Source: Alexandria via LeMat-Bulk
Functional: PBE
Structure: relaxed

Properties
The calculation puts the raw formation energy at -18.1 eV/f.u.

abc: 4.074 16.724 12.715
angles: 90.00 90.00 90.00
Space group Cmc2_1 (No. 36)
Symmetry-distinct sites (fractional):
Ac1 0.000 0.105 0.000 [4 per cell]
Ac2 0.000 0.143 0.620 [4 per cell]
Ho1 0.000 0.208 0.326 [4 per cell]
Sc1 0.000 0.471 0.771 [4 per cell]
S1 0.000 0.054 0.381 [4 per cell]
S2 0.000 0.281 0.972 [4 per cell]
S3 0.000 0.324 0.683 [4 per cell]
S4 0.000 0.372 0.313 [4 per cell]
S5 0.000 0.487 0.085 [4 per cell]

What did we get for size of the total moment? Answer: 0.781 0.005 0.000 0.000 0.000 0.000 6.333 7.442 0.000 6.984 0.000 0.000 3.869 0.000 0.000 2.416 0.000 0.000 0.000 1.968 0.000 0.000 0.000 0.000 μB/f.u., in the order shown.
What did we get for ρ? Answer: 9.8 8.3 9.3 6.2 8.8 4.8 6.3 6.9 2.7 11.8 10.7 7.8 6.1 7.0 10.9 7.2 6.7 4.4 7.9 11.8 8.6 3.3 9.3 6.3 g/cm³, in the order shown.
What did we get for density of states at the Fermi level? Answer: 1.1312 0.5362 0.9678 0.4875 1.2484 0.3018 3.0086 1.8844 0.1096 0.5292 0.8147 0.3650 1.1711 0.7566 0.6148 1.2326 1.1845 0.5682 0.3895 1.3867 0.8738 0.3634 0.2007 0.6338 states/eV/atom, in the order shown.